Material: SrSc2IrSe
Method: DFT, PBE
State: optimized geometry

Geometry as CIF:
```
data_SrSc2IrSe
_space_group_name_H-M_alt 'P 4/m m m'
_space_group_IT_number 123
_space_group_name_Hall '-P 4 2'
_cell_length_a 5.3081
_cell_length_b 5.3081
_cell_length_c 5.1621
_cell_angle_alpha 90.00
_cell_angle_beta 90.00
_cell_angle_gamma 90.00
loop_
_atom_site_label
_atom_site_fract_x
_atom_site_fract_y
_atom_site_fract_z
_atom_site_occupancy
Sr1 0.0000 0.0000 0.0000 1
Sc1 0.0000 0.5000 0.0000 1
Ir1 0.5000 0.5000 0.5000 1
Se1 0.0000 0.0000 0.5000 1
```

***

Material: AlCr2Se
Method: DFT, PBE
State: optimized geometry

Geometry as CIF:
```
data_AlCr2Se
_space_group_name_H-M_alt 'C m m 2'
_space_group_IT_number 35
_cell_length_a 3.0116
_cell_length_b 4.4959
_cell_length_c 9.2390
_cell_angle_alpha 90.00
_cell_angle_beta 90.00
_cell_angle_gamma 90.00
loop_
_space_group_symop_operation_xyz
'x,y,z'
'-x,-y,z'
'-x,y,z'
'x,-y,z'
'x+1/2,y+1/2,z'
'-x+1/2,-y+1/2,z'
'-x+1/2,y+1/2,z'
'x+1/2,-y+1/2,z'
loop_
_atom_site_label
_atom_site_fract_x
_atom_site_fract_y
_atom_site_fract_z
_atom_site_occupancy
Al1 0.0000 0.0000 0.0000 1
Cr1 0.0000 0.0000 0.5803 1
Cr2 0.0000 0.5000 0.7716 1
Se1 0.0000 0.5000 0.3604 1
```

Results
- energy above the most stable polymorph in this dataset (kcal/mol of atoms) = 6.897

***

Computed values of formation energy from raw total energies (unit: meV per atom) for the preceding records, in sequence: 1575 304.